Cd4InO5 | GGA-PBE | relaxed

The space group is I4/mmm (No. 139) and the conventional cell measures 3.3597, 3.3597 and 24.8648 Å, with angles of 90.00, 90.00 and 90.00 degrees. The asymmetric unit holds Cd at (0.0000, 0.0000, 0.1023), Cd at (0.0000, 0.0000, 0.2979), In at (0.0000, 0.0000, 0.5000), O at (0.0000, 0.0000, 0.0000), O at (0.0000, 0.0000, 0.1974) and O at (0.0000, 0.0000, 0.4126).

The formation energy without anion corrections comes out at -1041 meV/atom.

TmLuFeRh | GGA-PBE | relaxed

The space group is F-43m (No. 216) and the conventional cell measures 6.6319, 6.6319 and 6.6319 Å, with angles of 90.00, 90.00 and 90.00 degrees. The asymmetric unit holds Tm at (0.0000, 0.0000, 0.0000), Lu at (0.0000, 0.0000, 0.5000), Fe at (0.2500, 0.2500, 0.7500) and Rh at (0.2500, 0.2500, 0.2500).

For the uncorrected energy, the calculation gives -0.243 Ha/atom.

Sm2DyHo3Te6 | GGA-PBE | relaxed

The space group is C2/m (No. 12) and the conventional cell measures 19.1106, 4.3455 and 8.8105 Å, with angles of 90.00, 103.78 and 90.00 degrees. The asymmetric unit holds Sm at (0.1688, 0.0000, 0.3366), Dy at (0.0000, 0.5000, 0.0000), Ho at (0.0000, 0.5000, 0.5000), Ho at (0.1699, 0.0000, 0.8344), Te at (0.0026, 0.0000, 0.7505), Te at (0.1635, 0.5000, 0.5889) and Te at (0.1654, 0.5000, 0.0771).

The formation energy without anion corrections comes out at -1299 meV/atom.

Th5Ge | GGA-PBE | relaxed

The space group is Cmmm (No. 65) and the conventional cell measures 4.8652, 15.1953 and 4.8067 Å, with angles of 90.00, 90.00 and 90.00 degrees. The asymmetric unit holds Th at (0.0000, 0.0000, 0.0000), Th at (0.0000, 0.1592, 0.5000), Th at (0.0000, 0.3393, 0.0000) and Ge at (0.0000, 0.5000, 0.5000).

For the uncorrected energy, the calculation gives -0.259 Ha/atom.

ScOs3Au | GGA-PBE | relaxed

The space group is Pm-3m (No. 221) and the conventional cell measures 4.8392, 4.8392 and 4.8392 Å, with angles of 90.00, 90.00 and 90.00 degrees. The asymmetric unit holds Sc at (0.0000, 0.0000, 0.0000), Os at (0.0000, 0.5000, 0.5000) and Au at (0.5000, 0.5000, 0.5000).

As for the offset from the most stable computed form: 7.1 meV/atom.

Er2ZnCu4Ge3 | GGA-PBE | relaxed

The space group is P-4m2 (No. 115) and the conventional cell measures 4.0406, 4.0406 and 10.2625 Å, with angles of 90.00, 90.00 and 90.00 degrees. The asymmetric unit holds Er at (0.0000, 0.5000, 0.2427), Zn at (0.0000, 0.0000, 0.5000), Cu at (0.0000, 0.0000, 0.0000), Cu at (0.0000, 0.5000, 0.6362), Cu at (0.5000, 0.5000, 0.0000), Ge at (0.0000, 0.5000, 0.8640) and Ge at (0.5000, 0.5000, 0.5000).

For the uncorrected energy, the calculation gives -0.166 Ha/atom.

Number 1: M_tot 0.00 μB/atom. Number 2: M_tot 0.07 μB/atom. Number 3: M_tot 0.00 μB/atom. Number 4: M_tot 0.00 μB/atom. Number 5: M_tot 0.92 μB/atom. Number 6: M_tot 0.00 μB/atom.